(1)
25
Lattice="-4.6138 4.1073 -0.4287 0.0997 -0.5597 -6.4348 -5.6355 -6.3768 -0.4435" Properties=species:S:1:pos:R:3 comment="MgMn4Ag4O16 (PBE+U, relaxed)" de_polymorph_mev_per_atom=0.0 pbc="T T T"
O -3.4906 0.3327 -3.6273
O -6.6244 -3.1927 -3.6765
O -1.1571 0.6470 -5.1020
O -6.6197 -2.9036 -0.9531
O -3.4948 0.0432 -6.3506
O -8.9575 -3.5063 -2.2018
O -6.8295 -5.4017 -2.0040
O -8.5942 -0.7305 -3.5951
O -6.2541 -0.3465 -5.5230
O -8.8594 -0.7386 -0.8205
O -6.1336 1.9769 -4.1373
O -3.2861 2.5412 -5.2998
O -5.8687 1.9852 -6.9119
O -3.6592 -2.6565 -5.2821
O -3.8589 -2.5153 -1.7804
O -6.4537 -0.2053 -2.0217
Mn -8.0876 -0.0180 -2.2096
Mn -7.2482 -3.7403 -2.2092
Mn -2.8668 0.8803 -5.0945
Mn -6.6391 1.2634 -5.5227
Mg -4.5990 4.0941 -0.4273
Ag -5.2674 -4.1371 -5.2137
Ag -7.5491 -2.1070 -5.4262
Ag -4.8465 1.2772 -2.0894
Ag -2.5658 -0.7542 -1.8781

---

(2)
5
Lattice="-1.1777 -4.6714 -0.7474 1.8442 0.0808 -3.4108 4.1239 -1.3911 2.1968" Properties=species:S:1:pos:R:3 comment="MgMnAg2O (PBE+U, relaxed)" energy_ev_per_atom=-4.1017 pbc="T T T"
Ag 2.0620 -0.6956 1.0984
Ag -0.5888 -2.3357 -0.3737
Mn 0.9221 0.0404 -1.7054
O 0.0000 0.0000 0.0000
Mg 2.3952 -2.9909 -0.9808

---

(3)
25
Lattice="5.5257 0.0715 -0.0104 0.9125 8.0318 0.1917 0.6384 1.4083 8.7178" Properties=species:S:1:pos:R:3 comment="MgMn4Ag4O16 (PBE+U, relaxed)" de_polymorph_mev_per_atom=4.7 pbc="T T T"
O 1.3432 1.7136 7.4364
O 1.7201 4.2735 0.7581
O 1.1635 3.7079 5.4093
O 1.9061 1.0636 5.0024
O 6.0679 6.0026 3.4316
O 3.0300 3.5031 2.9343
O 3.7326 2.7380 6.2080
O 5.8805 7.8026 1.4628
O 3.6976 6.2128 5.9732
O 3.6594 6.8824 2.7236
O 5.3842 8.5081 3.9862
O 2.5649 1.7428 0.9267
O 5.0199 5.0131 8.0916
O 6.3140 6.9593 6.5959
O 0.5457 2.6021 2.4135
O 4.0641 7.5913 8.0482
Mn 1.9690 3.0485 1.7526
Mn 2.0770 2.4188 5.9880
Mn 4.8924 6.3592 7.1954
Mn 5.2539 7.3118 2.9172
Ag 4.9468 2.7163 8.2324
Ag 2.5628 5.3662 4.2709
Ag 2.5969 7.5924 0.8952
Ag 4.8913 2.8077 4.2702
Mg 2.5292 7.7705 6.6904

---

| no. | M_tot (μB per formula unit) |
| --- | --- |
| 1 | 2.02 |
| 2 | 4.60 |
| 3 | 2.00 |